No. 1
The following is a DFT calculation (GGA-PBE) of a relaxed structure of CuMoCl2.

As for the total magnetization: 3.28 μB/f.u. The energy above the most stable polymorph in this dataset is 585 meV/atom.

It has space group Pmmm (No. 47), with a = 3.164 Å, b = 3.982 Å, c = 5.881 Å, α = 90.00°, β = 90.00° and γ = 90.00°. The asymmetric unit holds Cu at (0.000, 0.000, 0.000), Mo at (0.500, 0.000, 0.500), Cl at (0.000, 0.500, 0.500) and Cl at (0.500, 0.500, 0.000).

No. 2
The following is a DFT calculation (GGA-PBE) of a relaxed structure of Cu2MoPbCl.

As for the total magnetization: 3.08 μB/f.u. The value obtained for the total DFT energy (no corrections) is -3.82 eV/atom.

It has space group P4/mmm (No. 123), with a = 4.347 Å, b = 4.347 Å, c = 5.858 Å, α = 90.00°, β = 90.00° and γ = 90.00°. The asymmetric unit holds Cu at (0.000, 0.500, 0.000), Mo at (0.000, 0.000, 0.500), Pb at (0.500, 0.500, 0.500) and Cl at (0.500, 0.500, 0.000).

no.,mass density (g/cm³)
1,5.2
2,7.0